1.
Below is a relaxed La6As2PbS3 crystal, with properties calculated at the PBE level.

Cell lengths 9.664, 9.664, 8.649 Å; angles 102.23, 102.23, 25.90 degrees
Atoms (fractional coordinates):
La 0.000 0.000 0.232
La 0.000 0.000 0.768
La 0.327 0.327 0.413
La 0.333 0.333 0.916
La 0.667 0.667 0.084
La 0.673 0.673 0.587
As 0.168 0.168 0.835
As 0.832 0.832 0.165
Pb 0.500 0.500 0.500
S 0.166 0.166 0.332
S 0.500 0.500 0.000
S 0.834 0.834 0.668

Results
Space group: No. 12
Uncorrected formation energy in meV per atom: -1682

2.
Below is a relaxed MnTe2Pb crystal, with properties calculated at the PBE level.

Cell lengths 3.222, 3.222, 9.661 Å; angles 90.00, 90.00, 90.00 degrees
Atoms (fractional coordinates):
Mn 0.000 0.000 0.000
Te 0.000 0.000 0.513
Te 0.500 0.500 0.863
Pb 0.500 0.500 0.211

Results
Space group: No. 99
Uncorrected formation energy in meV per atom: 236

3.
Below is a relaxed CsNpSeF2 crystal, with properties calculated at the PBE level.

Cell lengths 7.858, 7.858, 8.256 Å; angles 90.00, 90.00, 149.19 degrees
Atoms (fractional coordinates):
Cs 0.234 0.766 0.750
Cs 0.766 0.234 0.250
Np 0.500 0.500 0.000
Np 0.500 0.500 0.500
Se 0.022 0.978 0.250
Se 0.978 0.022 0.750
F 0.356 0.644 0.039
F 0.356 0.644 0.461
F 0.644 0.356 0.539
F 0.644 0.356 0.961

Results
Space group: No. 63
Uncorrected formation energy in meV per atom: -2441

4.
Below is a relaxed Na2DyZnF8 crystal, with properties calculated at the PBE level.

Cell lengths 3.896, 5.527, 7.267 Å; angles 89.88, 89.97, 85.45 degrees
Atoms (fractional coordinates):
Na 0.000 0.000 0.239
Na 0.000 0.000 0.761
Dy 0.500 0.500 0.500
Zn 0.500 0.500 0.000
F 0.003 0.733 0.500
F 0.084 0.719 0.001
F 0.450 0.274 0.760
F 0.450 0.275 0.239
F 0.550 0.725 0.761
F 0.550 0.726 0.240
F 0.916 0.281 0.999
F 0.997 0.267 0.500

Results
Space group: No. 2
Uncorrected formation energy in meV per atom: -2832

| no. | total DFT energy (no corrections) (eV/atom) |
| --- | --- |
| 1 | -6.26 |
| 2 | -4.55 |
| 3 | -6.64 |
| 4 | -4.79 |